(1)
First-principles (GGA-PBE) data for crystalline RbY2AgO4 at its relaxed geometry, as listed in OQMD.

The space group is P-6m2 (No. 187) and the conventional cell measures 3.5041, 3.5041 and 13.5287 Å, with angles of 90.00, 90.00 and 120.00 degrees. The distinct sites, in fractional coordinates, are Rb at (0.0000, 0.0000, 0.0000), Y at (0.3333, 0.6667, 0.2698), Ag at (0.6667, 0.3333, 0.5000), O at (0.0000, 0.0000, 0.1870) and O at (0.6667, 0.3333, 0.3468).

(2)
First-principles (GGA-PBE) data for crystalline RbZrAg3O4 at its relaxed geometry, as listed in OQMD.

The space group is P-43m (No. 215) and the conventional cell measures 5.700, 5.700 and 5.700 Å, with angles of 90.00, 90.00 and 90.00 degrees. The distinct sites, in fractional coordinates, are Rb at (0.000, 0.000, 0.000), Zr at (0.500, 0.500, 0.500), Ag at (0.000, 0.500, 0.500) and O at (0.294, 0.294, 0.294).

(3)
First-principles (GGA-PBE) data for crystalline ReAgO3 at its relaxed geometry, as listed in OQMD.

The space group is R-3c (No. 167, hexagonal axes) and the conventional cell measures 5.4634, 5.4634 and 13.3957 Å, with angles of 90.00, 90.00 and 120.00 degrees. The distinct sites, in fractional coordinates, are Re at (0.0000, 0.0000, 0.0000), Ag at (0.0000, 0.0000, 0.2500) and O at (0.0000, 0.4519, 0.2500).

| no. | total magnetization (μB/f.u.) | V (Å³/f.u.) | total DFT energy (no corrections) (Ha/atom) |
| --- | --- | --- | --- |
| 1 | 0.0 | 144 | -0.2543 |
| 2 | 0.0 | 185 | -0.1968 |
| 3 | 0.0 | 58 | -0.2565 |